A plane-wave DFT calculation with PBE was carried out for a relaxed structure of K2AgIr.

Properties
uncorrected energy: -2.79 eV/atom
formation energy from the elements: 0.69 eV/atom

a = 7.0728 Å, b = 6.1171 Å, c = 2.8439 Å
α = 90.01°, β = 66.27°, γ = 118.98°
Element x y z (fractional)
K (0.5000, 0.0000, 0.5000)
K (0.0000, 0.0000, 0.0000)
Ir (0.5000, 0.5000, 0.0000)
Ag (0.0000, 0.5000, 0.5000)